Entry 1:
The following is a DFT calculation (PBE+U) of BaFe2B2O6 after structural relaxation.

The structure in CIF format:
```
data_BaFe2B2O6
_chemical_formula_sum 'Ba1 Fe2 B2 O6'
_symmetry_space_group_name_H-M 'P -1'
_symmetry_Int_Tables_number 2
_symmetry_space_group_name_Hall '-P 1'
_cell_length_a 4.9467
_cell_length_b 4.9572
_cell_length_c 7.0071
_cell_angle_alpha 109.33
_cell_angle_beta 109.73
_cell_angle_gamma 91.04
loop_
_atom_site_label
_atom_site_type_symbol
_atom_site_fract_x
_atom_site_fract_y
_atom_site_fract_z
_atom_site_occupancy
Ba1 Ba 0.0000 0.0000 0.0000 1
Fe1 Fe 0.2869 0.7126 0.4999 1
B1 B 0.2594 0.2580 0.7108 1
O1 O 0.0471 0.3864 0.7817 1
O2 O 0.3243 0.3245 0.5500 1
O3 O 0.3876 0.0443 0.7806 1
```

Calculated values
Uncorrected energy = -7.3002 eV per atom
Fermi-level density of states = 0.0000 states/eV/atom

***

Entry 2:
The following is a DFT calculation (PBE+U) of BaFe2BO6 after structural relaxation.

The structure in CIF format:
```
data_BaFe2BO6
_chemical_formula_sum 'Ba4 Fe8 B4 O24'
_symmetry_space_group_name_H-M 'C 1 2/c 1'
_symmetry_Int_Tables_number 15
_symmetry_space_group_name_Hall '-C 2yc'
_cell_length_a 11.2255
_cell_length_b 9.2805
_cell_length_c 6.6151
_cell_angle_alpha 90.00
_cell_angle_beta 122.71
_cell_angle_gamma 90.00
loop_
_atom_site_label
_atom_site_type_symbol
_atom_site_fract_x
_atom_site_fract_y
_atom_site_fract_z
_atom_site_occupancy
Ba1 Ba 0.0000 0.1839 0.2500 1
Fe1 Fe 0.2114 0.4283 0.1210 1
B1 B 0.0000 0.1925 0.7500 1
O1 O 0.0880 0.2775 0.9683 1
O2 O 0.0919 0.1000 0.7056 1
O3 O 0.1898 0.4389 0.3920 1
```

Calculated values
Uncorrected energy = -6.8073 eV per atom
Fermi-level density of states = 0.3198 states/eV/atom

***

Number 2 is which compound? BaFe2BO6

***

Which value of uncorrected energy does entry 1 give? -7.3002 eV per atom